<a>
P2IrCl: optimized geometry, GGA-PBE.

```
4
Lattice="9.1784 0.0860 0.0507 8.6242 3.1424 0.0507 8.6242 1.5639 2.7260" Properties=species:S:1:pos:R:3 pbc="T T T"
Cl 12.4837 2.2638 1.3357
P 0.2881 0.0522 0.0308
P 7.4697 1.3546 0.7992
Ir 19.3987 3.5178 2.0755
```

Calculated values
Symmetry ... R3m
M_tot ... 0.00 μB per formula unit

***

<b>
P2IrCl: optimized geometry, GGA-PBE.

```
4
Lattice="-2.7517 2.1622 -0.0795 -1.5449 -1.9229 1.1742 1.9774 2.7794 7.1532" Properties=species:S:1:pos:R:3 pbc="T T T"
Ir -0.6652 2.2042 5.9123
P 1.1691 1.6433 4.2294
P 1.7969 2.5258 6.5005
Cl -1.6539 0.8145 2.3357
```

Calculated values
Symmetry ... Pmmm
M_tot ... 0.00 μB per formula unit

***

Of them, <b> has the highest stability.